# 1
VASP calculation (PBE) on crystalline TbY2Er4Sc at its relaxed geometry.

Lattice parameters (Å, degrees): 4.9446 4.9472 11.0781 63.50 90.00 90.00
Positions (direct):
Tb 0.5000 0.5000 0.0000
Y 0.0000 0.0000 0.0000
Y 0.5000 0.0000 0.5000
Er 0.0000 0.7544 0.7453
Er 0.0000 0.2456 0.2547
Er 0.5000 0.7456 0.2547
Er 0.5000 0.2544 0.7453
Sc 0.0000 0.5000 0.5000

Results
- SG = No. 123
- electronic total energy (Ha/atom) = -0.192



# 2
VASP calculation (PBE) on crystalline TbYErSc at its relaxed geometry.

Lattice parameters (Å, degrees): 5.5363 5.5363 5.5363 60.00 60.00 60.00
Positions (direct):
Y 0.7500 0.7500 0.7500
Sc 0.0000 0.0000 0.0000
Tb 0.2500 0.2500 0.2500
Er 0.5000 0.5000 0.5000

Results
- SG = No. 216
- relative energy among the computed polymorphs (meV/atom) = 78
- electronic total energy (Ha/atom) = -0.197



# 3
VASP calculation (PBE) on crystalline Tb3Y6Er2Sc at its relaxed geometry.

Lattice parameters (Å, degrees): 6.1208 6.1208 11.7093 94.99 94.99 119.95
Positions (direct):
Tb 0.1665 0.8335 0.5000
Tb 0.8335 0.1665 0.5000
Tb 0.5000 0.5000 0.5000
Y 0.9183 0.5871 0.7537
Y 0.7506 0.7506 0.2465
Y 0.0817 0.4129 0.2463
Y 0.5871 0.9183 0.7537
Y 0.2494 0.2494 0.7535
Y 0.4129 0.0817 0.2463
Er 0.3334 0.6666 0.0000
Er 0.6666 0.3334 0.0000
Sc 0.0000 0.0000 0.0000

Results
- SG = No. 12
- electronic total energy (Ha/atom) = -0.207



# 4
VASP calculation (PBE) on crystalline Tb2YEr4Sc at its relaxed geometry.

Lattice parameters (Å, degrees): 4.9498 4.9525 11.0436 63.38 90.00 90.00
Positions (direct):
Tb 0.0000 0.0000 0.0000
Tb 0.5000 0.0000 0.5000
Y 0.5000 0.5000 0.0000
Er 0.0000 0.7555 0.7444
Er 0.0000 0.2445 0.2556
Er 0.5000 0.7446 0.2556
Er 0.5000 0.2554 0.7444
Sc 0.0000 0.5000 0.5000

Results
- SG = No. 123
- electronic total energy (Ha/atom) = -0.184



# 5
VASP calculation (PBE) on crystalline TbY5ErSc2 at its relaxed geometry.

Lattice parameters (Å, degrees): 5.6056 11.0407 9.3695 90.00 90.00 104.71
Positions (direct):
Tb 0.8162 0.6324 0.5180
Tb 0.1838 0.3676 0.0180
Y 0.3884 0.7769 0.0464
Y 0.7360 0.4721 0.8366
Y 0.4694 0.9387 0.7479
Y 0.3061 0.6123 0.7158
Y 0.9886 0.9771 0.5125
Y 0.6116 0.2231 0.5464
Y 0.2640 0.5279 0.3366
Y 0.5306 0.0613 0.2479
Y 0.6939 0.3877 0.2158
Y 0.0114 0.0229 0.0125
Er 0.5987 0.1975 0.9200
Er 0.4013 0.8025 0.4200
Sc 0.8872 0.7743 0.8234
Sc 0.1337 0.2675 0.7034
Sc 0.1128 0.2257 0.3234
Sc 0.8663 0.7325 0.2034

Results
- SG = No. 36
- electronic total energy (Ha/atom) = -0.215



# 6
VASP calculation (PBE) on crystalline Tb6Y2Er3Sc at its relaxed geometry.

Lattice parameters (Å, degrees): 6.1061 6.1061 11.6531 95.00 95.00 119.95
Positions (direct):
Tb 0.9173 0.5869 0.7508
Tb 0.7524 0.7524 0.2493
Tb 0.0827 0.4131 0.2492
Tb 0.5869 0.9173 0.7508
Tb 0.2476 0.2476 0.7507
Tb 0.4131 0.0827 0.2492
Y 0.3334 0.6666 0.0000
Y 0.6666 0.3334 0.0000
Er 0.1665 0.8335 0.5000
Er 0.8335 0.1665 0.5000
Er 0.5000 0.5000 0.5000
Sc 0.0000 0.0000 0.0000

Results
- SG = No. 12
- electronic total energy (Ha/atom) = -0.185



# 7
VASP calculation (PBE) on crystalline Tb3YEr6Sc2 at its relaxed geometry.

Lattice parameters (Å, degrees): 6.0415 6.0415 11.5383 95.00 95.00 119.95
Positions (direct):
Tb 0.1668 0.8332 0.5000
Tb 0.8332 0.1668 0.5000
Tb 0.5000 0.5000 0.5000
Y 0.0000 0.0000 0.0000
Er 0.9182 0.5818 0.7555
Er 0.7453 0.7453 0.2446
Er 0.0818 0.4182 0.2445
Er 0.5818 0.9182 0.7555
Er 0.2547 0.2547 0.7554
Er 0.4182 0.0818 0.2445
Sc 0.3333 0.6667 0.0000
Sc 0.6667 0.3333 0.0000

Results
- SG = No. 12
- electronic total energy (Ha/atom) = -0.184



# 8
VASP calculation (PBE) on crystalline TbYEr4Sc2 at its relaxed geometry.

Lattice parameters (Å, degrees): 6.9265 11.9583 11.9632 146.34 106.87 89.96
Positions (direct):
Tb 0.5000 0.5000 0.5000
Tb 0.0000 0.0000 0.0000
Y 0.0000 0.5000 0.0000
Y 0.0000 0.5000 0.5000
Er 0.2539 0.7506 0.0042
Er 0.7495 0.2462 0.4996
Er 0.2505 0.7538 0.5004
Er 0.7461 0.2494 0.9959
Er 0.7497 0.7506 0.0032
Er 0.7465 0.7532 0.4935
Er 0.2535 0.2468 0.5065
Er 0.2503 0.2494 0.9968
Sc 0.5000 0.0000 0.0000
Sc 0.5000 0.0000 0.5000
Sc 0.0000 0.0000 0.5000
Sc 0.5000 0.5000 0.0000

Results
- SG = No. 12
- electronic total energy (Ha/atom) = -0.191



| no. | mass density (g/cm3) | V (Å³/cell) | formation enthalpy at 0 K (meV/atom) |
| --- | --- | --- | --- |
| 1 | 7.19 | 243 | 37 |
| 2 | 6.37 | 120 | 124 |
| 3 | 6.16 | 374 | 33 |
| 4 | 7.69 | 242 | 34 |
| 5 | 5.10 | 561 | 166 |
| 6 | 7.52 | 371 | 27 |
| 7 | 7.67 | 359 | 37 |
| 8 | 7.14 | 468 | 42 |